The following is a DFT calculation (PBE-GGA) of a relaxed structure of HgP.

Computed properties:
- Magnetic moment: 0.00 μB/f.u.
- Excess energy over the best structure of this formula in the dataset: 3 meV per atom
- Formation enthalpy at 0 K: 3 kJ per mole of atoms

Cell: 3.304 3.304 10.504 Å, 88.83 89.36 60.05°
Space group P1 (No. 1)
Unique sites:
1 Hg 0.000 0.000 0.000
2 Hg 0.285 0.331 0.293
3 P 0.608 0.637 0.694
4 P 0.942 0.978 0.577